No. 1
# TbY2Ir3

A relaxed TbY2Ir3 crystal (PBE-GGA, Alexandria via LeMat-Bulk).

Values from the calculation:
Formation enthalpy at 0 K in eV/f.u.: -4.7

abc: 4.8642 4.8642 5.9546
angles: 90.00 90.00 120.00
Closest atoms and distances in Å follow each position.
Space group P-3m1 (No. 164)
Unique sites:
Tb (0.0000, 0.0000, 0.0000)  8 Ir 2.98
Y (0.3333, 0.6667, 0.6663)  8 Ir 2.98
Ir (0.0000, 0.0000, 0.5000)  2 Tb 2.98, 6 Y 2.98
Ir (0.3333, 0.6667, 0.1663)  5 Y 2.98, 3 Tb 2.98



No. 2
# ErBeAs2

A relaxed ErBeAs2 crystal (PBE-GGA, Alexandria via LeMat-Bulk).

Values from the calculation:
Formation enthalpy at 0 K in eV/f.u.: -1.1

abc: 4.1160 4.1160 22.1774
angles: 90.00 90.00 120.00
Closest atoms and distances in Å follow each position.
Space group R-3m (No. 166, hexagonal axes)
Unique sites:
Er (0.0000, 0.0000, 0.0000)  6 As 2.87
Be (0.0000, 0.0000, 0.5000)  2 As 2.08
As (0.0000, 0.0000, 0.4063)  1 Be 2.08